No. 1
The following is a DFT calculation (PBE-GGA) of Ba5Ag2N after structural relaxation.

Results
Uncorrected formation energy, meV/atom: -223
Electronic total energy, eV per cell: -50.9

Cell: 7.7761 7.7761 16.1841 Å, 90.00 90.00 136.91°
Last column: nearest neighbours and their distance in Å.
Fractional positions:
Ba  0.1177  0.8823  0.6269  1 N 2.75
Ba  0.1177  0.8823  0.8731  1 N 2.75
Ba  0.2513  0.7487  0.2500  2 N 2.86
Ba  0.3811  0.6189  0.6272  1 N 2.76
Ba  0.3811  0.6189  0.8728  1 N 2.76
Ba  0.6189  0.3811  0.1272  1 N 2.76
Ba  0.6189  0.3811  0.3728  1 N 2.76
Ba  0.7487  0.2513  0.7500  2 N 2.86
Ba  0.8823  0.1177  0.1269  1 N 2.75
Ba  0.8823  0.1177  0.3731  1 N 2.75
Ag  0.2499  0.7501  0.0427  2 Ag 3.17, 3 Ba 3.34-3.36
Ag  0.2499  0.7501  0.4573  2 Ag 3.17, 3 Ba 3.34-3.36
Ag  0.7501  0.2499  0.5427  2 Ag 3.17, 3 Ba 3.34-3.36
Ag  0.7501  0.2499  0.9573  2 Ag 3.17, 3 Ba 3.34-3.36
N  0.2491  0.7509  0.7500  6 Ba 2.75-2.86
N  0.7509  0.2491  0.2500  6 Ba 2.75-2.86

=====

No. 2
The following is a DFT calculation (PBE-GGA) of Al2FeBr after structural relaxation.

Results
Uncorrected formation energy, meV/atom: 1
Electronic total energy, eV per cell: -17.6
Offset from the most stable computed form, eV/atom: 0.079

Cell: 2.9543 2.9543 7.9213 Å, 90.00 90.00 90.00°
Last column: nearest neighbours and their distance in Å.
Fractional positions:
Al  0.0000  0.0000  0.1700  4 Fe 2.49, 1 Al 2.69
Al  0.0000  0.0000  0.8300  4 Fe 2.49, 1 Al 2.69
Fe  0.5000  0.5000  0.0000  8 Al 2.49
Br  0.5000  0.5000  0.5000  4 Br 2.95